DFT (GGA-PBEsol) results for a relaxed structure of TmScO3.

Results
Calculated volume   11.80 Å³ per atom
E   -0.667 Ry/atom
E_form (uncorrected)   -3.63 eV per atom
Crystal system   orthorhombic

a b c (Å): 5.646 7.835 5.333
angles (deg): 90.00 90.00 90.00
Fractional coordinates of all 20 atoms:
1 Tm 0.065 0.250 0.022
2 Tm 0.435 0.750 0.522
3 Tm 0.565 0.250 0.478
4 Tm 0.935 0.750 0.978
5 Sc 0.000 0.000 0.500
6 Sc 0.000 0.500 0.500
7 Sc 0.500 0.000 0.000
8 Sc 0.500 0.500 0.000
9 O 0.063 0.750 0.362
10 O 0.192 0.572 0.811
11 O 0.192 0.928 0.811
12 O 0.308 0.072 0.311
13 O 0.308 0.428 0.311
14 O 0.437 0.250 0.862
15 O 0.563 0.750 0.138
16 O 0.692 0.572 0.689
17 O 0.692 0.928 0.689
18 O 0.808 0.072 0.189
19 O 0.808 0.428 0.189
20 O 0.937 0.250 0.638